Crystalline VPO5 at its relaxed geometry, computed with PBE+U.

## Properties
* D(E_F): 0.00 states/eV/f.u.
* ΔE to the lowest computed polymorph: 0.015 eV/atom

Cell lengths 6.252, 6.252, 4.659 Å; angles 90.00, 90.00, 90.00 degrees
Fractional positions:
V (0.250, 0.250, 0.109)
V (0.750, 0.750, 0.891)
P (0.250, 0.750, 0.000)
P (0.750, 0.250, 0.000)
O (0.050, 0.750, 0.804)
O (0.250, 0.250, 0.765)
O (0.250, 0.550, 0.196)
O (0.250, 0.950, 0.196)
O (0.450, 0.750, 0.804)
O (0.550, 0.250, 0.196)
O (0.750, 0.050, 0.804)
O (0.750, 0.450, 0.804)
O (0.750, 0.750, 0.235)
O (0.950, 0.250, 0.196)